# 1
A relaxed UIn2CuO8 crystal. Source: Alexandria, functional PBE.

The calculated density is 6.8 Mg/m³. For the final energy, the calculation gives -6.682 eV per atom.

Geometry as POSCAR:
```
UIn2CuO8
1.0
4.9035 -0.1561 -0.2646
-0.1427 4.9041 0.2637
-0.3528 0.3574 6.7312
O Cu U In
8 1 1 2
Cartesian
0.8711 3.8818 1.5605
3.2395 3.5871 3.3646
1.4570 1.4468 0.0004
3.9609 0.7918 1.6105
0.4470 4.3135 5.1198
2.9510 3.6586 6.7299
3.5368 1.2235 5.1698
1.1684 1.5183 3.3657
-0.1764 0.1787 3.3656
0.0000 0.0000 0.0000
1.9754 2.7820 4.9734
2.4326 2.3233 1.7569
```

---

# 2
A relaxed UInCuO6 crystal. Source: Alexandria, functional PBE.

The calculated density is 7.4 Mg/m³. For the final energy, the calculation gives -7.137 eV per atom.

Geometry as POSCAR:
```
UInCuO6
1.0
-4.8345 -2.0854 -0.2569
2.3978 0.5290 4.6646
-3.8106 8.7142 0.9706
O Cu In U
12 2 2 2
Cartesian
-2.0811 0.1425 3.0379
-2.1753 2.3650 4.8229
-4.0719 4.7928 0.5553
-6.5421 5.8323 3.6331
-4.1661 7.0153 2.3403
0.2314 0.9714 4.6754
0.2949 1.3255 1.7451
-6.4787 6.1864 0.7028
0.1502 3.5368 3.4319
-2.2136 2.6752 1.8872
-6.3975 3.6210 1.9463
-4.0336 4.4826 3.4910
-0.9656 1.8361 3.2667
-5.2817 5.3217 2.1115
0.0000 0.0000 0.0000
-1.9053 4.3571 0.4853
-2.8709 6.1932 3.7520
-3.3764 0.9646 1.6262
```

---

Repeat the second record exactly.
A relaxed UInCuO6 crystal. Source: Alexandria, functional PBE.

The calculated density is 7.4 Mg/m³. For the final energy, the calculation gives -7.137 eV per atom.

Geometry as POSCAR:
```
UInCuO6
1.0
-4.8345 -2.0854 -0.2569
2.3978 0.5290 4.6646
-3.8106 8.7142 0.9706
O Cu In U
12 2 2 2
Cartesian
-2.0811 0.1425 3.0379
-2.1753 2.3650 4.8229
-4.0719 4.7928 0.5553
-6.5421 5.8323 3.6331
-4.1661 7.0153 2.3403
0.2314 0.9714 4.6754
0.2949 1.3255 1.7451
-6.4787 6.1864 0.7028
0.1502 3.5368 3.4319
-2.2136 2.6752 1.8872
-6.3975 3.6210 1.9463
-4.0336 4.4826 3.4910
-0.9656 1.8361 3.2667
-5.2817 5.3217 2.1115
0.0000 0.0000 0.0000
-1.9053 4.3571 0.4853
-2.8709 6.1932 3.7520
-3.3764 0.9646 1.6262
```

---

> Look up the final energy of the first one.

-6.682 eV per atom

---

> Which of these has the lowest final energy?

UInCuO6

---

> What is the calculated density in the first record?

6.8 Mg/m³